# Tb5Tm6Sc, optimized geometry, DFT PBE
# DOS at the Fermi energy: 16.63 states/eV/f.u.
# raw total energy: -4.66 eV per atom
# energy of formation: 0.029 eV per atom
data_Tb5Tm6Sc
_chemical_formula_sum 'Tb10 Tm12 Sc2'
_cell_length_a 6.062
_cell_length_b 10.491
_cell_length_c 11.591
_cell_angle_alpha 90.00
_cell_angle_beta 100.02
_cell_angle_gamma 90.00
_symmetry_space_group_name_H-M 'C 1 2/m 1'
_symmetry_Int_Tables_number 12
_symmetry_space_group_name_Hall '-C 2y'
loop_
_atom_site_label
_atom_site_type_symbol
_atom_site_fract_x
_atom_site_fract_y
_atom_site_fract_z
Tb1 Tb 0.000 0.000 0.000
Tb2 Tb 0.000 0.167 0.500
Tb3 Tb 0.000 0.334 0.000
Tm1 Tm 0.248 0.335 0.747
Tm2 Tm 0.249 0.500 0.252
Sc1 Sc 0.000 0.500 0.500



# NdMg3Cu, optimized geometry, DFT PBE
# DOS at the Fermi energy: 1.99 states/eV/f.u.
# raw total energy: -2.75 eV per atom
# energy of formation: -0.018 eV per atom
data_NdMg3Cu
_chemical_formula_sum 'Nd1 Mg3 Cu1'
_cell_length_a 4.924
_cell_length_b 4.924
_cell_length_c 4.924
_cell_angle_alpha 90.00
_cell_angle_beta 90.00
_cell_angle_gamma 90.00
_symmetry_space_group_name_H-M 'P m -3 m'
_symmetry_Int_Tables_number 221
_symmetry_space_group_name_Hall '-P 4 2 3'
loop_
_atom_site_label
_atom_site_type_symbol
_atom_site_fract_x
_atom_site_fract_y
_atom_site_fract_z
Nd1 Nd 0.000 0.000 0.000
Mg1 Mg 0.000 0.500 0.500
Cu1 Cu 0.500 0.500 0.500